(1)
Na2NpTi2Se6 GGA-PBE optimized geometry; raw total energy = -5.92 eV/atom
1.0
3.294 -5.793 0.000
3.294 5.793 0.000
-2.169 0.000 7.151
Na Np Ti Se
2 1 2 6
direct
0.160 0.840 0.000 Na
0.840 0.160 0.000 Na
0.000 0.000 0.500 Np
0.332 0.668 0.500 Ti
0.668 0.332 0.500 Ti
0.069 0.424 0.715 Se
0.288 0.288 0.286 Se
0.424 0.069 0.715 Se
0.576 0.931 0.285 Se
0.712 0.712 0.714 Se
0.931 0.576 0.285 Se


(2)
CaAgSn2Te4 GGA-PBE optimized geometry; raw total energy = -3.69 eV/atom
1.0
7.621 0.000 0.000
0.000 4.403 0.000
-2.603 0.000 7.340
Ca Ag Sn Te
1 1 2 4
direct
0.000 0.000 0.000 Ca
0.500 0.500 0.000 Ag
0.000 0.500 0.500 Sn
0.500 0.000 0.500 Sn
0.252 0.500 0.248 Te
0.258 0.000 0.756 Te
0.742 0.000 0.244 Te
0.748 0.500 0.752 Te


(3)
PmZnHgGe GGA-PBE optimized geometry; formation energy from the elements = -0.9 eV per formula unit; raw total energy = -2.97 eV/atom
1.0
0.000 3.560 3.560
3.560 0.000 3.560
3.560 3.560 0.000
Pm Zn Hg Ge
1 1 1 1
direct
0.000 0.000 0.000 Pm
0.500 0.500 0.500 Zn
0.750 0.750 0.750 Hg
0.250 0.250 0.250 Ge


(4)
ReSiAu2 GGA-PBE optimized geometry; raw total energy = -5.51 eV/atom
1.0
-1.914 1.914 4.409
1.914 -1.914 4.409
1.914 1.914 -4.409
Re Si Au
1 1 2
direct
0.000 0.000 0.000 Re
0.500 0.500 0.000 Si
0.250 0.750 0.500 Au
0.750 0.250 0.500 Au